Here is YTl2SnSe4 after structural relaxation from the Alexandria database. Energies are from GGA-PBE.

* uncorrected formation energy: -7.1 eV per formula unit
* size of the total moment: 0.00 Bohr magnetons per cell
* calculated total energy: -4.524 eV per atom
* crystal system: monoclinic
* calculated density: 6.62 Mg/m³

a b c (Å): 7.3683 4.1299 8.0508
angles (deg): 90.00 107.28 90.00
Last column: nearest neighbours and their distance in Å.
Element x y z (fractional)
Y: 0.0000 0.0000 0.0000  6 Se 2.88-2.90
Tl: 0.0000 0.5000 0.5000  6 Se 3.29-3.33
Tl: 0.5000 0.0000 0.5000  6 Se 3.31-3.33
Sn: 0.5000 0.5000 0.0000  6 Se 2.90-2.91
Se: 0.2345 0.5000 0.2051  2 Y 2.88, 1 Sn 2.91
Se: 0.2611 0.0000 0.7916  2 Sn 2.90, 1 Y 2.90
Se: 0.7389 0.0000 0.2084  2 Sn 2.90, 1 Y 2.90
Se: 0.7655 0.5000 0.7949  2 Y 2.88, 1 Sn 2.91

Here is MnNi6Au after structural relaxation from the Alexandria database. Energies are from GGA-PBE.

* size of the total moment: 27.92 Bohr magnetons per cell
* energy of formation from the pure elements: 0.008 eV per atom
* calculated total energy: -5.883 eV per atom
* crystal system: orthorhombic
* calculated density: 10.38 Mg/m³

a b c (Å): 6.3017 6.3017 10.3404
angles (deg): 90.00 90.00 109.70
Last column: nearest neighbours and their distance in Å.
Element x y z (fractional)
Mn: 0.0000 0.0000 0.2459  12 Ni 2.53-2.63
Mn: 0.0000 0.0000 0.7541  12 Ni 2.53-2.63
Mn: 0.2495 0.7505 0.0000  12 Ni 2.51-2.58
Mn: 0.7505 0.2495 0.0000  12 Ni 2.51-2.58
Ni: 0.0000 0.0000 0.0000  8 Ni 2.54, 4 Mn 2.54-2.57
Ni: 0.0000 0.0000 0.5000  8 Ni 2.56, 2 Au 2.59, 2 Mn 2.63
Ni: 0.1190 0.3723 0.1208  8 Ni 2.50-2.61, 3 Mn 2.52-2.57, 1 Au 2.62
Ni: 0.1190 0.3723 0.8792  8 Ni 2.50-2.61, 3 Mn 2.52-2.57, 1 Au 2.62
Ni: 0.1203 0.3670 0.3699  1 Mn 2.53, 8 Ni 2.54-2.69, 3 Au 2.58-2.63
Ni: 0.1203 0.3670 0.6301  1 Mn 2.53, 8 Ni 2.54-2.69, 3 Au 2.58-2.63
Ni: 0.2458 0.7542 0.2429  8 Ni 2.51-2.65, 2 Mn 2.51-2.53, 2 Au 2.62-2.66
Ni: 0.2458 0.7542 0.7571  8 Ni 2.51-2.65, 2 Mn 2.51-2.53, 2 Au 2.62-2.66
Ni: 0.3670 0.1203 0.3699  1 Mn 2.53, 8 Ni 2.54-2.69, 3 Au 2.58-2.63
Ni: 0.3670 0.1203 0.6301  1 Mn 2.53, 8 Ni 2.54-2.69, 3 Au 2.58-2.63
Ni: 0.3723 0.1190 0.1208  8 Ni 2.50-2.61, 3 Mn 2.52-2.57, 1 Au 2.62
Ni: 0.3723 0.1190 0.8792  8 Ni 2.50-2.61, 3 Mn 2.52-2.57, 1 Au 2.62
Ni: 0.5000 0.5000 0.0000  2 Au 2.57, 2 Mn 2.58, 8 Ni 2.58
Ni: 0.5000 0.5000 0.5000  4 Au 2.56-2.60, 8 Ni 2.62
Ni: 0.6277 0.8810 0.1208  8 Ni 2.50-2.61, 3 Mn 2.52-2.57, 1 Au 2.62
Ni: 0.6277 0.8810 0.8792  8 Ni 2.50-2.61, 3 Mn 2.52-2.57, 1 Au 2.62
Ni: 0.6330 0.8797 0.3699  1 Mn 2.53, 8 Ni 2.54-2.69, 3 Au 2.58-2.63
Ni: 0.6330 0.8797 0.6301  1 Mn 2.53, 8 Ni 2.54-2.69, 3 Au 2.58-2.63
Ni: 0.7542 0.2458 0.2429  8 Ni 2.51-2.65, 2 Mn 2.51-2.53, 2 Au 2.62-2.66
Ni: 0.7542 0.2458 0.7571  8 Ni 2.51-2.65, 2 Mn 2.51-2.53, 2 Au 2.62-2.66
Ni: 0.8797 0.6330 0.3699  1 Mn 2.53, 8 Ni 2.54-2.69, 3 Au 2.58-2.63
Ni: 0.8797 0.6330 0.6301  1 Mn 2.53, 8 Ni 2.54-2.69, 3 Au 2.58-2.63
Ni: 0.8810 0.6277 0.1208  8 Ni 2.50-2.61, 3 Mn 2.52-2.57, 1 Au 2.62
Ni: 0.8810 0.6277 0.8792  8 Ni 2.50-2.61, 3 Mn 2.52-2.57, 1 Au 2.62
Au: 0.2514 0.7486 0.5000  12 Ni 2.56-2.66
Au: 0.5000 0.5000 0.2485  12 Ni 2.57-2.62
Au: 0.5000 0.5000 0.7515  12 Ni 2.57-2.62
Au: 0.7486 0.2514 0.5000  12 Ni 2.56-2.66

Here is Ta3OsW after structural relaxation from the Alexandria database. Energies are from GGA-PBE.

* energy relative to the lowest polymorph listed for this composition: 218.7 kJ/mol of atoms
* size of the total moment: 0.00 Bohr magnetons per cell
* energy of formation from the pure elements: 1.978 eV per atom
* calculated total energy: -9.970 eV per atom
* crystal system: cubic
* calculated density: 14.12 Mg/m³

a b c (Å): 4.7597 4.7597 4.7597
angles (deg): 90.00 90.00 90.00
Last column: nearest neighbours and their distance in Å.
Element x y z (fractional)
Ta: 0.0000 0.0000 0.5000  2 W 2.38
Ta: 0.0000 0.5000 0.0000  2 W 2.38
Ta: 0.5000 0.0000 0.0000  2 W 2.38
Os: 0.5000 0.5000 0.5000  12 Ta 3.37
W: 0.0000 0.0000 0.0000  6 Ta 2.38

Here is Cs3RbAu after structural relaxation from the Alexandria database. Energies are from GGA-PBE.

* energy relative to the lowest polymorph listed for this composition: 7.5 kJ/mol of atoms
* size of the total moment: 0.00 Bohr magnetons per cell
* energy of formation from the pure elements: -0.070 eV per atom
* calculated total energy: -1.431 eV per atom
* crystal system: orthorhombic
* calculated density: 2.98 Mg/m³

a b c (Å): 10.6133 10.6133 8.5822
angles (deg): 90.00 90.00 128.18
Last column: nearest neighbours and their distance in Å.
Element x y z (fractional)
Cs: 0.0000 0.0000 0.0000  2 Au 3.66
Cs: 0.0000 0.0000 0.5000  2 Au 3.66
Cs: 0.0558 0.4561 0.7500  1 Au 3.57
Cs: 0.4561 0.0558 0.2500  1 Au 3.57
Cs: 0.5439 0.9442 0.7500  1 Au 3.57
Cs: 0.9442 0.5439 0.2500  1 Au 3.57
Rb: 0.4307 0.5693 0.2500  2 Au 4.92, 10 Cs 5.00-5.46, 2 Rb 5.04
Rb: 0.5693 0.4307 0.7500  2 Au 4.92, 10 Cs 5.00-5.46, 2 Rb 5.04
Au: 0.1554 0.8446 0.7500  4 Cs 3.57-3.66
Au: 0.8446 0.1554 0.2500  4 Cs 3.57-3.66

Here is ScAl4Ni2 after structural relaxation from the Alexandria database. Energies are from GGA-PBE.

* size of the total moment: 0.00 Bohr magnetons per cell
* energy of formation from the pure elements: -0.578 eV per atom
* calculated total energy: -5.273 eV per atom
* crystal system: orthorhombic
* calculated density: 4.25 Mg/m³

a b c (Å): 16.5325 4.0505 6.3053
angles (deg): 90.00 90.00 90.00
Last column: nearest neighbours and their distance in Å.
Element x y z (fractional)
Sc: 0.1406 0.2500 0.0227  9 Al 2.86-3.10, 4 Ni 2.95-3.12
Sc: 0.3594 0.7500 0.5227  9 Al 2.86-3.10, 4 Ni 2.95-3.12
Sc: 0.6406 0.2500 0.4773  9 Al 2.86-3.10, 4 Ni 2.95-3.12
Sc: 0.8594 0.7500 0.9773  9 Al 2.86-3.10, 4 Ni 2.95-3.12
Al: 0.0320 0.7500 0.8493  3 Ni 2.43-2.48
Al: 0.0704 0.2500 0.5008  4 Ni 2.41-2.64
Al: 0.1878 0.7500 0.3239  4 Ni 2.43-2.47, 1 Al 2.60
Al: 0.1952 0.7500 0.7360  3 Ni 2.39-2.42, 1 Al 2.60
Al: 0.3048 0.2500 0.2360  3 Ni 2.39-2.42, 1 Al 2.60
Al: 0.3122 0.2500 0.8239  4 Ni 2.43-2.47, 1 Al 2.60
Al: 0.4296 0.7500 0.0008  4 Ni 2.41-2.64
Al: 0.4680 0.2500 0.3493  3 Ni 2.43-2.48
Al: 0.5320 0.7500 0.6507  3 Ni 2.43-2.48
Al: 0.5704 0.2500 0.9992  4 Ni 2.41-2.64
Al: 0.6878 0.7500 0.1761  4 Ni 2.43-2.47, 1 Al 2.60
Al: 0.6952 0.7500 0.7640  3 Ni 2.39-2.42, 1 Al 2.60
Al: 0.8048 0.2500 0.2640  3 Ni 2.39-2.42, 1 Al 2.60
Al: 0.8122 0.2500 0.6761  4 Ni 2.43-2.47, 1 Al 2.60
Al: 0.9296 0.7500 0.4992  4 Ni 2.41-2.64
Al: 0.9680 0.2500 0.1507  3 Ni 2.43-2.48
Ni: 0.0417 0.7500 0.2418  7 Al 2.43-2.64
Ni: 0.2155 0.2500 0.5334  7 Al 2.39-2.46
Ni: 0.2845 0.7500 0.0334  7 Al 2.39-2.46
Ni: 0.4583 0.2500 0.7418  7 Al 2.43-2.64
Ni: 0.5417 0.7500 0.2582  7 Al 2.43-2.64
Ni: 0.7155 0.2500 0.9666  7 Al 2.39-2.46
Ni: 0.7845 0.7500 0.4666  7 Al 2.39-2.46
Ni: 0.9583 0.2500 0.7582  7 Al 2.43-2.64

Here is KPaAu2S4 after structural relaxation from the Alexandria database. Energies are from GGA-PBE.

* uncorrected formation energy: -6.6 eV per formula unit
* size of the total moment: 0.00 Bohr magnetons per cell
* calculated total energy: -5.038 eV per atom
* crystal system: orthorhombic
* calculated density: 5.76 Mg/m³

a b c (Å): 6.7994 6.7994 6.7994
angles (deg): 124.74 104.67 100.19
Last column: nearest neighbours and their distance in Å.
Element x y z (fractional)
K: 0.0000 0.0000 0.0000  8 S 3.40-3.61
Pa: 0.5000 0.5000 0.0000  4 S 2.57
Au: 0.3339 0.8339 0.5000  2 S 2.34
Au: 0.6661 0.1661 0.5000  2 S 2.34
S: 0.1368 0.1021 0.6088  1 Au 2.34, 1 Pa 2.57
S: 0.4933 0.5280 0.3912  1 Au 2.34, 1 Pa 2.57
S: 0.5067 0.8979 0.0347  1 Au 2.34, 1 Pa 2.57
S: 0.8632 0.4720 0.9653  1 Au 2.34, 1 Pa 2.57

Here is NdErMgGa after structural relaxation from the Alexandria database. Energies are from GGA-PBE.

* size of the total moment: 0.01 Bohr magnetons per cell
* energy of formation from the pure elements: -0.330 eV per atom
* calculated total energy: -3.818 eV per atom
* crystal system: cubic
* calculated density: 6.67 Mg/m³

a b c (Å): 5.2267 5.2267 5.2267
angles (deg): 60.00 60.00 60.00
Last column: nearest neighbours and their distance in Å.
Element x y z (fractional)
Nd: 0.0000 0.0000 0.0000  4 Ga 3.20, 4 Mg 3.20
Er: 0.5000 0.5000 0.5000  4 Mg 3.20, 4 Ga 3.20
Mg: 0.2500 0.2500 0.2500  4 Nd 3.20, 4 Er 3.20
Ga: 0.7500 0.7500 0.7500  4 Nd 3.20, 4 Er 3.20

Here is YZnNi2 after structural relaxation from the Alexandria database. Energies are from GGA-PBE.

* size of the total moment: 0.00 Bohr magnetons per cell
* energy of formation from the pure elements: -0.013 eV per atom
* calculated total energy: -4.839 eV per atom
* crystal system: tetragonal
* calculated density: 5.91 Mg/m³

a b c (Å): 8.7445 8.7445 8.7445
angles (deg): 151.42 151.42 40.86
Last column: nearest neighbours and their distance in Å.
Element x y z (fractional)
Y: 0.0000 0.0000 0.0000  4 Ni 2.94, 4 Zn 3.05
Y: 0.7500 0.2500 0.5000  4 Ni 2.94, 4 Zn 3.05
Zn: 0.2500 0.7500 0.5000  4 Ni 2.34
Zn: 0.5000 0.5000 0.0000  4 Ni 2.34
Ni: 0.2934 0.6250 0.1684  2 Ni 2.27, 2 Zn 2.34
Ni: 0.3750 0.5434 0.6684  2 Ni 2.27, 2 Zn 2.34
Ni: 0.4566 0.1250 0.8316  2 Ni 2.27, 2 Zn 2.34
Ni: 0.8750 0.7066 0.3316  2 Ni 2.27, 2 Zn 2.34

Here is TlZn2Cr after structural relaxation from the Alexandria database. Energies are from GGA-PBE.

* energy relative to the lowest polymorph listed for this composition: 2.2 kJ/mol of atoms
* size of the total moment: 3.29 Bohr magnetons per cell
* energy of formation from the pure elements: 0.344 eV per atom
* calculated total energy: -3.291 eV per atom
* crystal system: tetragonal
* calculated density: 9.24 Mg/m³

a b c (Å): 4.0817 4.0817 4.1755
angles (deg): 90.00 90.00 90.00
Last column: nearest neighbours and their distance in Å.
Element x y z (fractional)
Tl: 0.0000 0.0000 0.0000  4 Cr 2.89, 8 Zn 2.92
Zn: 0.0000 0.5000 0.5000  4 Zn 2.89, 4 Cr 2.92, 4 Tl 2.92
Zn: 0.5000 0.0000 0.5000  4 Zn 2.89, 4 Cr 2.92, 4 Tl 2.92
Cr: 0.5000 0.5000 0.0000  4 Tl 2.89, 8 Zn 2.92

Here is Ta2PbW after structural relaxation from the Alexandria database. Energies are from GGA-PBE.

* size of the total moment: 0.00 Bohr magnetons per cell
* energy of formation from the pure elements: 0.599 eV per atom
* calculated total energy: -9.493 eV per atom
* crystal system: tetragonal
* calculated density: 15.96 Mg/m³

a b c (Å): 2.9055 2.9055 9.2810
angles (deg): 90.00 90.00 90.00
Last column: nearest neighbours and their distance in Å.
Element x y z (fractional)
Ta: 0.0000 0.0000 0.2314  4 Ta 2.91, 4 W 2.97, 4 Pb 3.23
Ta: 0.0000 0.0000 0.7686  4 Ta 2.91, 4 W 2.97, 4 Pb 3.23
Pb: 0.5000 0.5000 0.5000  4 Pb 2.91, 8 Ta 3.23
W: 0.5000 0.5000 0.0000  4 W 2.91, 8 Ta 2.97

Here is PrFeIr after structural relaxation from the Alexandria database. Energies are from GGA-PBE.

* size of the total moment: 3.19 Bohr magnetons per cell
* energy of formation from the pure elements: -0.141 eV per atom
* calculated total energy: -7.509 eV per atom
* crystal system: orthorhombic
* calculated density: 10.69 Mg/m³

a b c (Å): 6.5972 6.5972 6.5972
angles (deg): 140.12 138.49 58.92
Last column: nearest neighbours and their distance in Å.
Element x y z (fractional)
Pr: 0.3788 0.1288 0.2500  4 Fe 2.94, 2 Ir 3.13
Pr: 0.6212 0.8712 0.7500  4 Fe 2.94, 2 Ir 3.13
Fe: 0.0000 0.5000 0.5000  2 Fe 2.34, 2 Ir 2.48
Fe: 0.5000 0.5000 0.0000  2 Fe 2.34, 2 Ir 2.48
Ir: 0.0597 0.3097 0.7500  2 Fe 2.48, 2 Ir 2.64
Ir: 0.9403 0.6903 0.2500  2 Fe 2.48, 2 Ir 2.64

Here is LaHo3Tm7 after structural relaxation from the Alexandria database. Energies are from GGA-PBE.

* energy relative to the lowest polymorph listed for this composition: 4.8 kJ/mol of atoms
* size of the total moment: 0.00 Bohr magnetons per cell
* energy of formation from the pure elements: 0.207 eV per atom
* calculated total energy: -4.335 eV per atom
* crystal system: trigonal
* calculated density: 8.34 Mg/m³

a b c (Å): 6.9853 6.9853 8.5563
angles (deg): 90.00 90.00 120.00
Last column: nearest neighbours and their distance in Å.
Element x y z (fractional)
La: 0.0000 0.0000 0.0000  9 Tm 3.47-3.49, 3 Ho 3.54
Ho: 0.1677 0.3353 0.6613  5 Tm 3.47-3.53, 4 Ho 3.47-3.51, 1 La 3.54
Ho: 0.1677 0.8323 0.6613  5 Tm 3.47-3.53, 4 Ho 3.47-3.51, 1 La 3.54
Ho: 0.6647 0.8323 0.6613  5 Tm 3.47-3.53, 4 Ho 3.47-3.51, 1 La 3.54
Tm: 0.0022 0.5011 0.0007  7 Tm 3.46-3.52, 2 La 3.49, 2 Ho 3.53
Tm: 0.3322 0.1661 0.3308  1 La 3.47, 2 Ho 3.47, 8 Tm 3.48-3.50
Tm: 0.3333 0.6667 0.3300  9 Tm 3.46-3.49, 3 Ho 3.47
Tm: 0.4989 0.5011 0.0007  7 Tm 3.46-3.52, 2 La 3.49, 2 Ho 3.53
Tm: 0.4989 0.9978 0.0007  7 Tm 3.46-3.52, 2 La 3.49, 2 Ho 3.53
Tm: 0.8339 0.1661 0.3308  1 La 3.47, 2 Ho 3.47, 8 Tm 3.48-3.50
Tm: 0.8339 0.6678 0.3308  1 La 3.47, 2 Ho 3.47, 8 Tm 3.48-3.50